a.
InAu2I6 | Alexandria via LeMat-Bulk | PBE | relaxed; space group = C2/c; theoretical density = 4.9 Mg/m³
1.0
7.6885 -8.4771 0.0000
7.6885 8.4771 0.0000
-3.4629 0.0000 6.6175
In Au I
2 4 12
Direct
0.0598 0.9402 0.7500
0.9402 0.0598 0.2500
0.3895 0.3893 0.1371
0.3893 0.3895 0.6371
0.6107 0.6105 0.3629
0.6105 0.6107 0.8629
0.0677 0.1826 0.6974
0.0924 0.6909 0.7598
0.1826 0.0677 0.1974
0.2708 0.4853 0.3758
0.3091 0.9076 0.7402
0.4853 0.2708 0.8758
0.5147 0.7292 0.1242
0.6909 0.0924 0.2598
0.7292 0.5147 0.6242
0.8174 0.9323 0.8026
0.9076 0.3091 0.2402
0.9323 0.8174 0.3026



b.
InAu2I6 | Alexandria via LeMat-Bulk | PBE | relaxed; space group = C2/c; theoretical density = 4.4 Mg/m³
1.0
7.7038 -8.0481 0.0000
7.7038 8.0481 0.0000
-3.8135 0.0000 7.7807
In Au I
2 4 12
Direct
0.1730 0.8270 0.7500
0.8270 0.1730 0.2500
0.2431 0.3168 0.4500
0.3168 0.2431 0.9500
0.6832 0.7569 0.0500
0.7569 0.6832 0.5500
0.0546 0.1897 0.1629
0.1429 0.6419 0.4491
0.1897 0.0546 0.6629
0.3581 0.8571 0.0509
0.3833 0.4044 0.7716
0.4044 0.3833 0.2716
0.5956 0.6167 0.7284
0.6167 0.5956 0.2284
0.6419 0.1429 0.9491
0.8103 0.9454 0.3371
0.8571 0.3581 0.5509
0.9454 0.8103 0.8371



Stability, lowest: a



a.
InAuI4 | Alexandria via LeMat-Bulk | PBE | relaxed; space group = P2_1/c; theoretical density = 5.6 Mg/m³
1.0
7.8601 0.0000 0.0000
0.0000 4.2947 0.0000
-7.4157 0.0000 14.2817
In Au I
2 2 8
Direct
0.0000 0.0000 0.0000
0.0000 0.5000 0.5000
0.5000 0.0000 0.5000
0.5000 0.5000 0.0000
0.0014 0.0123 0.3694
0.0014 0.4877 0.8694
0.4239 0.0984 0.1063
0.4239 0.4016 0.6063
0.5761 0.5984 0.3937
0.5761 0.9016 0.8937
0.9986 0.5123 0.1306
0.9986 0.9877 0.6306



b.
InAuI4 | Alexandria via LeMat-Bulk | PBE | relaxed; space group = P4_2/mmc; theoretical density = 4.2 Mg/m³
1.0
8.1863 0.0000 0.0000
0.0000 8.1863 0.0000
0.0000 0.0000 9.7033
In Au I
2 2 8
Direct
0.0000 0.5000 0.0000
0.5000 0.0000 0.5000
0.0000 0.0000 0.0000
0.0000 0.0000 0.5000
0.2453 0.2483 0.0000
0.2453 0.7517 0.0000
0.2483 0.2453 0.5000
0.2483 0.7547 0.5000
0.7517 0.2453 0.5000
0.7517 0.7547 0.5000
0.7547 0.2483 0.0000
0.7547 0.7517 0.0000



Stability, lowest: b



a.
InAuIO2 | Alexandria via LeMat-Bulk | PBE | relaxed; space group = P4/mmm; theoretical density = 7.5 Mg/m³
1.0
4.3203 0.0000 0.0000
0.0000 4.3203 0.0000
0.0000 0.0000 5.5644
In Au I O
1 1 1 2
Direct
0.0000 0.0000 0.0000
0.5000 0.5000 0.5000
0.5000 0.5000 0.0000
0.0000 0.5000 0.5000
0.5000 0.0000 0.5000



b.
InAuIO2 | Alexandria via LeMat-Bulk | PBE | relaxed; space group = P4/mmm; theoretical density = 7.0 Mg/m³
1.0
4.0731 0.0000 0.0000
0.0000 4.0731 0.0000
0.0000 0.0000 6.7773
In Au I O
1 1 1 2
Direct
0.0000 0.0000 0.0000
0.5000 0.5000 0.5000
0.0000 0.0000 0.5000
0.0000 0.5000 0.0000
0.5000 0.0000 0.0000



Stability, lowest: a



a.
Rb2InAuI6 | Alexandria via LeMat-Bulk | PBE | relaxed; space group = I4/mmm; theoretical density = 4.9 Mg/m³
1.0
-4.2004 4.2004 5.9783
4.2004 -4.2004 5.9783
4.2004 4.2004 -5.9783
Rb In Au I
2 1 1 6
Direct
0.2500 0.7500 0.5000
0.7500 0.2500 0.5000
0.0000 0.0000 0.0000
0.5000 0.5000 0.0000
0.2501 0.2501 0.0000
0.2535 0.2535 0.5070
0.2535 0.7465 0.0000
0.7465 0.2535 0.0000
0.7465 0.7465 0.4930
0.7499 0.7499 0.0000



b.
Rb2InAuI6 | Alexandria via LeMat-Bulk | PBE | relaxed; space group = P1; theoretical density = 4.0 Mg/m³
1.0
8.0358 0.0000 0.0000
3.6964 7.6243 0.0000
1.3082 3.7313 8.4625
Rb In Au I
2 1 1 6
Direct
0.0000 0.0000 0.0000
0.3743 0.0654 0.3839
0.7816 0.3450 0.3557
0.4411 0.3894 0.8976
0.3739 0.7464 0.7969
0.4039 0.5307 0.3585
0.5187 0.0295 0.9990
0.8786 0.9585 0.4352
0.9520 0.3762 0.5744
0.9564 0.4537 0.0782



Stability, lowest: a



a.
Ir2AuI | Alexandria via LeMat-Bulk | PBE | relaxed; space group = Fm-3m; theoretical density = 16.5 Mg/m³
1.0
0.0000 3.2906 3.2906
3.2906 0.0000 3.2906
3.2906 3.2906 0.0000
Ir Au I
2 1 1
Direct
0.2500 0.2500 0.2500
0.7500 0.7500 0.7500
0.0000 0.0000 0.0000
0.5000 0.5000 0.5000



b.
Ir2AuI | Alexandria via LeMat-Bulk | PBE | relaxed; space group = I-42d; theoretical density = 15.4 Mg/m³
1.0
-3.6897 3.6897 2.8132
3.6897 -3.6897 2.8132
3.6897 3.6897 -2.8132
Ir Au I
4 2 2
Direct
0.1038 0.1250 0.4788
0.3750 0.8962 0.0212
0.6462 0.6250 0.5212
0.8750 0.3538 0.9788
0.2500 0.7500 0.5000
0.5000 0.5000 0.0000
0.0000 0.0000 0.0000
0.7500 0.2500 0.5000



Stability, lowest: b



a.
IrAu2I | Alexandria via LeMat-Bulk | PBE | relaxed; space group = Fm-3m; theoretical density = 14.9 Mg/m³
1.0
0.0000 3.4129 3.4129
3.4129 0.0000 3.4129
3.4129 3.4129 0.0000
Ir Au I
1 2 1
Direct
0.0000 0.0000 0.0000
0.2500 0.2500 0.2500
0.7500 0.7500 0.7500
0.5000 0.5000 0.5000



b.
IrAu2I | Alexandria via LeMat-Bulk | PBE | relaxed; space group = I-42d; theoretical density = 13.8 Mg/m³
1.0
-3.9637 3.9637 2.7230
3.9637 -3.9637 2.7230
3.9637 3.9637 -2.7230
Ir Au I
2 4 2
Direct
0.0000 0.0000 0.0000
0.7500 0.2500 0.5000
0.0949 0.6250 0.9699
0.3750 0.3449 0.4699
0.6551 0.1250 0.0301
0.8750 0.9051 0.5301
0.2500 0.7500 0.5000
0.5000 0.5000 0.0000



Stability, lowest: a



a.
K2AuI6 | Alexandria via LeMat-Bulk | PBE | relaxed; space group = P2_1/c; theoretical density = 4.2 Mg/m³
1.0
7.6777 0.0000 0.0000
0.0000 10.2989 0.0000
-6.0502 0.0000 10.3687
K Au I
4 2 12
Direct
0.2010 0.1137 0.2650
0.2010 0.3863 0.7650
0.7990 0.6137 0.2350
0.7990 0.8863 0.7350
0.5000 0.0000 0.0000
0.5000 0.5000 0.5000
0.1622 0.1250 0.9411
0.1622 0.3750 0.4411
0.2546 0.6702 0.9703
0.2546 0.8298 0.4703
0.3281 0.5859 0.2392
0.3281 0.9141 0.7392
0.6719 0.0859 0.2608
0.6719 0.4141 0.7608
0.7454 0.1702 0.5297
0.7454 0.3298 0.0297
0.8378 0.6250 0.5589
0.8378 0.8750 0.0589



b.
K2AuI6 | Alexandria via LeMat-Bulk | PBE | relaxed; space group = P2_1/c; theoretical density = 4.8 Mg/m³
1.0
7.6777 0.0000 0.0000
0.0000 8.0464 0.0000
-6.8982 0.0000 11.7278
K Au I
4 2 12
Direct
0.2151 0.0728 0.2517
0.2151 0.4272 0.7517
0.7849 0.5728 0.2483
0.7849 0.9272 0.7483
0.5000 0.0000 0.0000
0.5000 0.5000 0.5000
0.1766 0.1891 0.9698
0.1766 0.3109 0.4698
0.2744 0.6933 0.9975
0.2744 0.8067 0.4975
0.3246 0.5361 0.2658
0.3246 0.9639 0.7658
0.6754 0.0361 0.2342
0.6754 0.4639 0.7342
0.7256 0.1933 0.5025
0.7256 0.3067 0.0025
0.8234 0.6891 0.5302
0.8234 0.8109 0.0302



Stability, lowest: b



a.
K2AuI2 | Alexandria via LeMat-Bulk | PBE | relaxed; space group = P4/mbm; theoretical density = 4.6 Mg/m³
1.0
9.0350 0.0000 0.0000
0.0000 9.0350 0.0000
0.0000 0.0000 4.6848
K Au I
4 2 4
Direct
0.1491 0.3509 0.0000
0.3509 0.8509 0.0000
0.6491 0.1491 0.0000
0.8509 0.6491 0.0000
0.0000 0.0000 0.5000
0.5000 0.5000 0.5000
0.1623 0.6623 0.5000
0.3377 0.1623 0.5000
0.6623 0.8377 0.5000
0.8377 0.3377 0.5000



b.
K2AuI2 | Alexandria via LeMat-Bulk | PBE | relaxed; space group = I4/mmm; theoretical density = 3.9 Mg/m³
1.0
-3.4114 3.4114 4.8183
3.4114 -3.4114 4.8183
3.4114 3.4114 -4.8183
K Au I
2 1 2
Direct
0.2500 0.7500 0.5000
0.7500 0.2500 0.5000
0.0000 0.0000 0.0000
0.3096 0.3096 0.0000
0.6904 0.6904 0.0000



Stability, lowest: b



a.
K4AuI2 | Alexandria via LeMat-Bulk | PBE | relaxed; space group = C2/m; theoretical density = 2.9 Mg/m³
1.0
9.3339 -2.4052 0.0000
9.3339 2.4052 0.0000
-3.7466 0.0000 7.6557
K Au I
4 1 2
Direct
0.1181 0.1181 0.4397
0.3778 0.3778 0.0318
0.6222 0.6222 0.9682
0.8819 0.8819 0.5603
0.0000 0.0000 0.0000
0.2594 0.2594 0.2607
0.7406 0.7406 0.7393



b.
K4AuI2 | Alexandria via LeMat-Bulk | PBE | relaxed; space group = I4/mmm; theoretical density = 2.8 Mg/m³
1.0
-3.1431 3.1431 9.0508
3.1431 -3.1431 9.0508
3.1431 3.1431 -9.0508
K Au I
4 1 2
Direct
0.0000 0.5000 0.5000
0.1875 0.1875 0.0000
0.5000 0.0000 0.5000
0.8125 0.8125 0.0000
0.0000 0.0000 0.0000
0.3778 0.3778 0.0000
0.6222 0.6222 0.0000



Stability, lowest: b



a.
K2AuI5 | Alexandria via LeMat-Bulk | PBE | relaxed; space group = I4mm; theoretical density = 4.4 Mg/m³
1.0
-4.3355 4.3355 4.5818
4.3355 -4.3355 4.5818
4.3355 4.3355 -4.5818
K Au I
2 1 5
Direct
0.0000 0.5000 0.5000
0.5000 0.0000 0.5000
0.2399 0.2399 0.0000
0.0312 0.0312 0.5568
0.0312 0.4744 0.0000
0.4744 0.0312 0.0000
0.4744 0.4744 0.4432
0.8188 0.8188 0.0000



b.
K2AuI5 | Alexandria via LeMat-Bulk | PBE | relaxed; space group = Cm; theoretical density = 4.2 Mg/m³
1.0
5.3432 -4.6767 0.0000
5.3432 4.6767 0.0000
-4.3356 0.0000 7.1826
K Au I
2 1 5
Direct
0.0000 0.0000 0.0000
0.5087 0.5087 0.6932
0.7545 0.7545 0.3464
0.2531 0.2531 0.8448
0.5413 0.9508 0.5694
0.5578 0.9675 0.1232
0.9508 0.5413 0.5694
0.9675 0.5578 0.1232



Stability, lowest: a



a.
KAuI5 | Alexandria via LeMat-Bulk | PBE | relaxed; space group = C2/c; theoretical density = 3.6 Mg/m³
1.0
6.6153 -6.1635 0.0000
6.6153 6.1635 0.0000
-5.8693 0.0000 9.9209
K Au I
2 2 10
Direct
0.2463 0.7537 0.7500
0.7537 0.2463 0.2500
0.5000 0.5000 0.0000
0.5000 0.5000 0.5000
0.0589 0.8469 0.9794
0.1531 0.9411 0.5206
0.1834 0.4778 0.8904
0.4751 0.5249 0.2500
0.4778 0.1834 0.3904
0.5222 0.8166 0.6096
0.5249 0.4751 0.7500
0.8166 0.5222 0.1096
0.8469 0.0589 0.4794
0.9411 0.1531 0.0206



b.
KAuI5 | Alexandria via LeMat-Bulk | PBE | relaxed; space group = C2/c; theoretical density = 4.5 Mg/m³
1.0
6.5334 -4.7564 0.0000
6.5334 4.7564 0.0000
-4.4813 0.0000 10.4412
K Au I
2 2 10
Direct
0.2028 0.7972 0.7500
0.7972 0.2028 0.2500
0.5000 0.5000 0.0000
0.5000 0.5000 0.5000
0.1251 0.8633 0.4385
0.1367 0.8749 0.0615
0.2595 0.3020 0.8913
0.3020 0.2595 0.3913
0.4176 0.5824 0.2500
0.5824 0.4176 0.7500
0.6980 0.7405 0.6087
0.7405 0.6980 0.1087
0.8633 0.1251 0.9385
0.8749 0.1367 0.5615



Stability, lowest: b